Record 1
Sr2SiPt PBE optimized geometry; crystal system = tetragonal; D(E_F) = 2.66 states/eV/f.u.; space-group type = I-42d, No. 122; energy relative to the elements, uncorrected = -0.09 eV/atom
1.0
-3.166 6.884 3.349
-1.895 -4.216 6.874
0.458 2.084 6.395
Sr Pt Si
4 2 2
Cartesian
-2.173 4.452 4.627 Sr
-1.511 2.659 8.474 Sr
-4.128 3.802 13.898 Sr
-1.394 -1.409 6.238 Sr
0.000 0.000 0.000 Pt
-2.619 5.151 7.428 Pt
-2.530 1.334 5.112 Si
-1.984 -0.399 9.191 Si

Record 2
Zn2AgPbAu2 PBE optimized geometry; crystal system = trigonal; energy of formation = -0.0873 eV/atom; D(E_F) = 2.39 states/eV/f.u.; space-group type = P-3m1, No. 164
1.0
4.537 0.000 0.000
-2.269 3.930 0.000
0.000 0.000 6.732
Zn Ag Au Pb
2 1 2 1
Cartesian
0.000 2.620 4.559 Zn
2.269 1.310 2.173 Zn
0.000 0.000 3.366 Ag
0.000 2.620 1.799 Au
2.269 1.310 4.933 Au
0.000 0.000 0.000 Pb

Record 3
YNb2Co9 PBE optimized geometry; crystal system = trigonal; energy of formation = -0.1332 eV/atom; D(E_F) = 17.81 states/eV/f.u.; space-group type = R-3m, No. 166
1.0
4.625 0.000 1.376
2.108 4.117 1.376
0.049 0.030 8.293
Co Nb Y
9 2 1
Cartesian
4.005 2.449 7.775 Co
1.645 2.449 7.072 Co
3.391 2.073 5.523 Co
2.930 0.348 7.072 Co
3.852 3.799 3.973 Co
2.776 1.698 3.271 Co
2.308 1.411 9.161 Co
5.137 1.698 3.973 Co
4.473 2.735 1.885 Co
0.974 0.596 5.184 Nb
5.807 3.551 5.862 Nb
0.000 0.000 0.000 Y